A plane-wave DFT calculation with meta-GGA SCAN was carried out for Cs2ScAgI6 at its PBEsol-relaxed geometry.

Calculated values
Its total energy is -354.6 eV/cell. The density comes out at 5.00 g/cm3. For the formation energy from raw total energies, the calculation gives -1.29 eV per atom.

a = 8.214 Å, b = 8.214 Å, c = 8.214 Å
α = 60.00°, β = 60.00°, γ = 60.00°
Fractional positions:
Cs 0.250 0.250 0.250
Cs 0.750 0.750 0.750
Sc 0.000 0.000 0.000
Ag 0.500 0.500 0.500
I 0.246 0.246 0.754
I 0.246 0.754 0.246
I 0.246 0.754 0.754
I 0.754 0.246 0.246
I 0.754 0.246 0.754
I 0.754 0.754 0.246